Record 1
Here is crystalline Li2InP2O8 at its relaxed geometry from the Alexandria database. Energies are from PBE.

Lattice parameters (Å, degrees): 5.0176 8.4620 8.5747 90.00 116.92 90.00
Closest atoms and distances in Å follow each position.
Space group P2_1/c (No. 14)
Unique sites:
Li  0.0653  0.1232  0.1619 [4 per cell]  4 O 1.96-2.10
In  0.0000  0.0000  0.5000 [2 per cell]  6 O 2.16-2.22
P  0.3383  0.6635  0.7410 [4 per cell]  4 O 1.54-1.56
O  0.1822  0.6738  0.2073 [4 per cell]  1 P 1.55
O  0.2382  0.5566  0.8509 [4 per cell]  1 P 1.54
O  0.2582  0.5718  0.5687 [4 per cell]  1 P 1.55
O  0.3159  0.1851  0.6626 [4 per cell]  1 P 1.56

- ΔE_f (raw): -2.032 eV/atom
- Crystal system: monoclinic

=====

Record 2
Here is crystalline CdCoP at its relaxed geometry from the Alexandria database. Energies are from PBE.

Lattice parameters (Å, degrees): 2.8329 2.8329 5.7824 90.00 90.00 90.00
Closest atoms and distances in Å follow each position.
Space group P4mm (No. 99)
Unique sites:
Cd  0.0000  0.0000  0.0000 [1 per cell]  1 P 2.65, 4 Cd 2.83, 4 Co 2.86
Co  0.5000  0.5000  0.3540 [1 per cell]  4 P 2.28
P  0.0000  0.0000  0.5412 [1 per cell]  4 Co 2.28

- Crystal system: tetragonal
- Energy of formation from the pure elements: -0.16 eV per atom

=====

Record 3
Here is crystalline CdAg2Au at its relaxed geometry from the Alexandria database. Energies are from PBE.

Lattice parameters (Å, degrees): 7.6495 7.6495 5.6040 90.00 90.00 90.00
Closest atoms and distances in Å follow each position.
Space group I-42d (No. 122)
Unique sites:
Cd  0.0000  0.0000  0.0000 [4 per cell]  2 Au 2.80, 4 Ag 2.82
Ag  0.2442  0.2500  0.6250 [8 per cell]  2 Au 2.76, 2 Ag 2.80, 2 Cd 2.82
Au  0.0000  0.0000  0.5000 [4 per cell]  4 Ag 2.76, 2 Cd 2.80

- Crystal system: tetragonal
- Energy of formation from the pure elements: 0.11 eV per atom

=====

Record 4
Here is crystalline BaLaCr2 at its relaxed geometry from the Alexandria database. Energies are from PBE.

Lattice parameters (Å, degrees): 7.8420 7.8420 7.8420 90.00 90.00 90.00
Closest atoms and distances in Å follow each position.
Space group Fm-3m (No. 225)
Unique sites:
Ba  0.0000  0.0000  0.0000 [4 per cell]  8 Cr 3.40
La  0.0000  0.0000  0.5000 [4 per cell]  8 Cr 3.40
Cr  0.2500  0.2500  0.2500 [8 per cell]  4 Ba 3.40, 4 La 3.40

- Energy relative to the lowest polymorph listed for this composition: 84 kJ/mol of formula units
- Crystal system: cubic
- Energy of formation from the pure elements: 0.77 eV per atom

=====

Record 5
Here is crystalline In2ReW at its relaxed geometry from the Alexandria database. Energies are from PBE.

Lattice parameters (Å, degrees): 4.6704 4.6704 3.2744 90.00 90.00 90.00
Closest atoms and distances in Å follow each position.
Space group P4/mmm (No. 123)
Unique sites:
In  0.0000  0.5000  0.0000 [2 per cell]  4 W 2.85, 4 Re 2.85
Re  0.0000  0.0000  0.5000 [1 per cell]  8 In 2.85
W  0.5000  0.5000  0.5000 [1 per cell]  8 In 2.85

- Energy relative to the lowest polymorph listed for this composition: 251 kJ/mol of formula units
- Crystal system: tetragonal
- Energy of formation from the pure elements: 0.91 eV per atom

=====

Record 6
Here is crystalline Tl4SbI6 at its relaxed geometry from the Alexandria database. Energies are from PBE.

Lattice parameters (Å, degrees): 9.5404 9.5404 9.8580 90.00 90.00 90.00
Closest atoms and distances in Å follow each position.
Space group P4/mnc (No. 128)
Unique sites:
Tl  0.1578  0.3422  0.2500 [8 per cell]  6 I 3.54-3.72
Sb  0.0000  0.0000  0.0000 [2 per cell]  6 I 3.00-3.33
I  0.0000  0.0000  0.3046 [4 per cell]  1 Sb 3.00
I  0.1332  0.6775  0.0000 [8 per cell]  1 Sb 3.33, 4 Tl 3.54-3.72

- ΔE_f (raw): -0.450 eV/atom
- Crystal system: tetragonal

=====

Record 7
Here is crystalline Ce2PrSnN2 at its relaxed geometry from the Alexandria database. Energies are from PBE.

Lattice parameters (Å, degrees): 4.5983 4.5983 6.7218 90.00 90.00 90.00
Closest atoms and distances in Å follow each position.
Space group P4/mmm (No. 123)
Unique sites:
Ce  0.0000  0.0000  0.2256 [2 per cell]  4 N 2.75, 1 Ce 3.03
Pr  0.5000  0.5000  0.0000 [1 per cell]  4 N 2.30
Sn  0.5000  0.5000  0.5000 [1 per cell]  2 Pr 3.36, 8 Ce 3.74
N  0.0000  0.5000  0.0000 [2 per cell]  2 Pr 2.30

- ΔE_f (raw): -0.651 eV/atom
- Crystal system: tetragonal

=====

Record 8
Here is crystalline CsPtRhO6 at its relaxed geometry from the Alexandria database. Energies are from PBE.

Lattice parameters (Å, degrees): 5.3383 5.3383 6.5920 90.00 90.00 120.00
Closest atoms and distances in Å follow each position.
Space group P312 (No. 149)
Unique sites:
Cs  0.0000  0.0000  0.0000 [1 per cell]  6 O 3.06
Pt  0.3333  0.6667  0.5000 [1 per cell]  6 O 1.98
Rh  0.6667  0.3333  0.5000 [1 per cell]  6 O 1.96
O  0.3991  0.0022  0.6668 [6 per cell]  1 Rh 1.96, 1 Pt 1.98

- ΔE_f (raw): -0.668 eV/atom
- Crystal system: trigonal

=====

Record 9
Here is crystalline CsBS2 at its relaxed geometry from the Alexandria database. Energies are from PBE.

Lattice parameters (Å, degrees): 12.2125 7.7049 7.7030 90.00 129.04 90.00
Closest atoms and distances in Å follow each position.
Space group C2/c (No. 15)
Unique sites:
Cs  0.0000  0.2497  0.2500 [4 per cell]  8 S 3.76
B  0.2500  0.2500  0.0000 [4 per cell]  2 S 1.68
S  0.2501  0.0958  0.1542 [8 per cell]  1 B 1.68

- Energy relative to the lowest polymorph listed for this composition: 17 kJ/mol of formula units
- ΔE_f (raw): -0.845 eV/atom
- Crystal system: monoclinic

=====

Record 10
Here is crystalline KIrSe2 at its relaxed geometry from the Alexandria database. Energies are from PBE.

Lattice parameters (Å, degrees): 5.0927 3.7441 5.8542 90.00 105.68 90.00
Closest atoms and distances in Å follow each position.
Space group P2/m (No. 10)
Unique sites:
K  0.0000  0.0000  0.0000 [1 per cell]  2 Ir 3.32, 4 Se 3.40
Ir  0.5000  0.0000  0.5000 [1 per cell]  4 Se 2.44
Se  0.2744  0.5000  0.6369 [2 per cell]  2 Ir 2.44

- ΔE_f (raw): -0.426 eV/atom
- Crystal system: monoclinic

=====

Record 11
Here is crystalline Pa3Fe9GeB2 at its relaxed geometry from the Alexandria database. Energies are from PBE.

Lattice parameters (Å, degrees): 5.4256 5.4256 8.1527 90.00 90.00 120.00
Closest atoms and distances in Å follow each position.
Space group P-3m1 (No. 164)
Unique sites:
Pa  0.0000  0.0000  0.0000 [1 per cell]  12 Fe 2.71-2.78
Pa  0.3333  0.6667  0.6830 [2 per cell]  9 Fe 2.73-3.02
Fe  0.0000  0.5000  0.0000 [3 per cell]  2 B 1.96
Fe  0.1657  0.3314  0.2825 [6 per cell]  1 B 1.94
Ge  0.0000  0.0000  0.5000 [1 per cell]  6 Fe 2.36
B  0.3333  0.6667  0.1444 [2 per cell]  6 Fe 1.94-1.96

- Crystal system: trigonal
- Energy of formation from the pure elements: -0.16 eV per atom

=====

Record 12
Here is crystalline Pr2MgPb at its relaxed geometry from the Alexandria database. Energies are from PBE.

Lattice parameters (Å, degrees): 3.4767 3.4767 37.2915 90.00 90.00 120.00
Closest atoms and distances in Å follow each position.
Space group R-3m (No. 166, hexagonal axes)
Unique sites:
Pr  0.0000  0.0000  0.0909 [6 per cell]  1 Mg 3.39, 3 Pb 3.47, 6 Pr 3.48
Mg  0.0000  0.0000  0.0000 [3 per cell]  2 Pr 3.39, 6 Mg 3.48
Pb  0.0000  0.0000  0.5000 [3 per cell]  6 Pr 3.47, 6 Pb 3.48

- Crystal system: trigonal
- Energy of formation from the pure elements: 0.05 eV per atom